(1)
DFT (PBE-GGA) results for a relaxed structure of MgTaRe4. Values from VASP.

Geometry as Quantum ESPRESSO input:
```
&SYSTEM
  ibrav = 0, nat = 6, ntyp = 3
/
ATOMIC_SPECIES
Re 186.21 Re.upf
Mg 24.30 Mg.upf
Ta 180.95 Ta.upf
CELL_PARAMETERS angstrom
-2.214 -4.001 2.508
-4.260 0.780 2.905
-4.613 -1.842 -1.589
ATOMIC_POSITIONS angstrom
Re -4.156 -1.898 1.433
Re -6.289 -1.507 2.889
Re -5.264 -3.901 2.690
Re -6.466 -2.820 0.638
Mg 0.000 0.000 0.000
Ta -8.316 -3.797 2.868
```

Summary:
For the density of states at the Fermi level, the calculation gives 0.94 states/eV per atom. The energy of formation from the pure elements is 0.24 eV per formula unit. Its total energy is -63.00 eV for the cell shown.



(2)
DFT (PBE-GGA) results for a relaxed structure of PrNdTm2. Values from VASP.

Geometry as Quantum ESPRESSO input:
```
&SYSTEM
  ibrav = 0, nat = 16, ntyp = 3
/
ATOMIC_SPECIES
Pr 140.91 Pr.upf
Nd 144.24 Nd.upf
Tm 168.93 Tm.upf
CELL_PARAMETERS angstrom
7.304 0.000 0.000
0.000 6.155 -1.401
0.000 -3.613 12.620
ATOMIC_POSITIONS angstrom
Pr 3.648 3.625 6.549
Pr 3.656 -1.084 4.671
Pr 3.648 0.187 10.280
Pr 3.656 2.355 0.939
Nd 5.504 5.451 0.196
Nd 1.801 0.568 7.206
Nd 1.801 -2.909 11.024
Nd 5.504 1.974 4.013
Tm 5.538 -2.897 10.952
Tm 5.538 0.556 7.278
Tm 1.766 1.986 3.942
Tm 1.766 5.439 0.267
Tm 7.301 -1.106 4.674
Tm 0.003 3.648 6.546
Tm 7.301 2.377 0.936
Tm 0.003 0.165 10.284
```

Summary:
For the density of states at the Fermi level, the calculation gives 1.74 states/eV per atom. The energy of formation from the pure elements is 0.10 eV per formula unit. Its total energy is -73.58 eV for the cell shown. For the energy above the most stable polymorph in this dataset, the calculation gives 0.03 eV/f.u.



(3)
DFT (PBE-GGA) results for a relaxed structure of Ti5Al2MoRu2. Values from VASP.

Geometry as Quantum ESPRESSO input:
```
&SYSTEM
  ibrav = 0, nat = 20, ntyp = 4
/
ATOMIC_SPECIES
Ti 47.87 Ti.upf
Al 26.98 Al.upf
Ru 101.07 Ru.upf
Mo 95.94 Mo.upf
CELL_PARAMETERS angstrom
-2.380 1.967 -0.718
-3.374 -0.521 9.756
5.937 8.088 2.485
ATOMIC_POSITIONS angstrom
Ti 3.380 7.489 2.317
Ti -3.197 2.046 9.206
Ti -1.430 1.437 1.678
Ti -0.814 3.255 4.619
Ti -2.877 0.723 4.519
Ti -0.960 4.115 7.459
Ti 1.613 8.098 9.846
Ti 0.997 6.279 6.904
Ti 1.779 5.028 0.883
Ti 1.143 5.420 4.065
Al -1.244 1.047 6.994
Al 3.807 6.520 5.247
Al 1.359 2.556 2.499
Al 1.204 5.011 9.742
Ru -0.746 2.516 9.370
Ru 3.011 6.682 8.331
Ru 3.309 5.051 2.871
Ru -0.448 0.885 3.911
Mo 1.282 3.784 6.121
Mo 0.000 0.000 0.000
```

Summary:
For the density of states at the Fermi level, the calculation gives 0.74 states/eV per atom. The energy of formation from the pure elements is -1.65 eV per formula unit. Its total energy is -155.98 eV for the cell shown.



Number 1: total magnetic moment 0.00 μB/f.u.. Number 2: total magnetic moment 0.00 μB/f.u.. Number 3: total magnetic moment 0.00 μB/f.u..